(1)
BiSI2N | PBE-GGA | relaxed

Unit cell a=6.549 b=6.549 c=3.356 alpha=90.00 beta=90.00 gamma=90.00
Atoms (fractional coordinates):
I 0.000 0.500 0.000
N 0.000 0.000 0.500
Bi 0.500 0.500 0.500
I 0.500 0.000 0.000
S 0.000 0.000 0.000

Symmetry ... P4/mmm, No. 123
DOS(E_F) ... 3.78 states/eV per cell
E_form (uncorrected) ... 0.748 eV/atom



(2)
Mn2AgSe | PBE-GGA | relaxed

Unit cell a=5.509 b=5.509 c=5.509 alpha=146.75 beta=132.21 gamma=59.47
Atoms (fractional coordinates):
Mn 0.734 0.234 0.500
Ag 0.260 0.760 0.500
Mn 0.979 0.979 0.000
Se 0.527 0.527 0.000

Symmetry ... Imm2, No. 44
DOS(E_F) ... 3.55 states/eV per cell
E_form (uncorrected) ... 0.261 eV/atom



(3)
K2SrMg2 | PBE-GGA | relaxed

Unit cell a=10.430 b=10.430 c=4.031 alpha=90.00 beta=90.00 gamma=90.00
Atoms (fractional coordinates):
K 0.377 0.877 0.000
K 0.877 0.623 0.000
K 0.623 0.123 0.000
K 0.123 0.377 0.000
Mg 0.680 0.820 0.500
Sr 0.000 0.000 0.000
Mg 0.820 0.320 0.500
Sr 0.500 0.500 0.000
Mg 0.320 0.180 0.500
Mg 0.180 0.680 0.500

Symmetry ... P4/mbm, No. 127
DOS(E_F) ... 10.31 states/eV per cell
Energy of formation from the pure elements ... 0.25 eV per atom



(4)
CaPu3I8 | PBE-GGA | relaxed

Unit cell a=8.953 b=8.950 c=9.296 alpha=119.17 beta=90.00 gamma=120.01
Atoms (fractional coordinates):
I 0.246 0.492 0.241
Ca 0.000 0.000 0.000
I 0.748 0.497 0.242
Pu 0.500 0.000 0.000
I 0.752 0.998 0.241
I 0.248 0.002 0.759
I 0.754 0.508 0.759
I 0.246 0.998 0.241
Pu 0.000 0.500 0.000
I 0.754 0.002 0.759
Pu 0.500 0.500 0.000
I 0.252 0.503 0.758

Symmetry ... C2/m, No. 12
DOS(E_F) ... 43.70 states/eV per cell
E_form (uncorrected) ... -1.183 eV/atom



(5)
Zn3MoRu | PBE-GGA | relaxed

Unit cell a=4.669 b=4.669 c=4.669 alpha=90.00 beta=90.00 gamma=90.00
Atoms (fractional coordinates):
Ru 0.000 0.000 0.000
Mo 0.500 0.500 0.500
Zn 0.000 0.000 0.500
Zn 0.500 0.000 0.000
Zn 0.000 0.500 0.000

Symmetry ... Pm-3m, No. 221
DOS(E_F) ... 1.44 states/eV per cell
Energy of formation from the pure elements ... 1.07 eV per atom



(6)
Pm4DyTh2 | PBE-GGA | relaxed

Unit cell a=5.736 b=10.186 c=5.835 alpha=134.51 beta=90.00 gamma=90.00
Atoms (fractional coordinates):
Pm 0.500 0.329 0.494
Pm 0.000 0.728 0.226
Pm 0.500 0.671 0.506
Th 0.500 0.000 0.500
Th 0.000 0.500 0.500
Dy 0.000 0.000 0.000
Pm 0.000 0.272 0.774

Symmetry ... P2/m, No. 10
DOS(E_F) ... 12.16 states/eV per cell
Energy of formation from the pure elements ... 0.35 eV per atom